Compound: V3Co2H4
Source: Alexandria via LeMat-Bulk
Functional: PBE-GGA
Structure: relaxed

calculated density: 6645 kg/m3
raw total energy: -6.1636 eV per atom

Lattice parameters (Å, degrees): 4.5961 4.5961 6.1555 101.85 101.85 32.72
With the nearest neighbours (Å) after each atom.
Fractional positions:
V: 0.0000 0.0000 0.0000  4 H 1.92
V: 0.3895 0.3895 0.6022  3 H 1.97-2.04
V: 0.6105 0.6105 0.3978  3 H 1.97-2.04
Co: 0.3052 0.3052 0.1884  5 H 1.77-1.87
Co: 0.6948 0.6948 0.8116  5 H 1.77-1.87
H: 0.0715 0.0715 0.6815  2 Co 1.77
H: 0.3396 0.3396 0.8991  3 Co 1.82-1.87, 3 V 1.92-1.97
H: 0.6604 0.6604 0.1009  3 Co 1.82-1.87, 3 V 1.92-1.97
H: 0.9285 0.9285 0.3185  2 Co 1.77